The following is a DFT calculation (PBE-GGA) of a geometry-optimized K2Ho2SnS6 structure.

Cell lengths 6.7910, 6.7910, 7.9268 Å; angles 98.31, 98.31, 119.75 degrees
With the nearest neighbours (Å) after each atom.
Fractional coordinates of all 11 atoms:
Ho  0.6676  0.3324  0.5000  6 S 2.73-2.76
K  0.8309  0.1691  0.0000  6 S 3.22-3.28
S  0.7504  0.7504  0.6921  1 Sn 2.59, 2 Ho 2.76
S  0.0658  0.3868  0.6951  1 Sn 2.64, 2 Ho 2.73-2.75
Sn  0.0000  0.0000  0.5000  6 S 2.59-2.64
S  0.6132  0.9342  0.3049  1 Sn 2.64, 2 Ho 2.73-2.75
S  0.2496  0.2496  0.3079  1 Sn 2.59, 2 Ho 2.76
K  0.1691  0.8309  0.0000  6 S 3.22-3.28
S  0.3868  0.0658  0.6951  1 Sn 2.64, 2 Ho 2.73-2.75
Ho  0.3324  0.6676  0.5000  6 S 2.73-2.76
S  0.9342  0.6132  0.3049  1 Sn 2.64, 2 Ho 2.73-2.75

Summary:
Its magnetic moment is 0.00 μB per atom. For the formation energy without anion corrections, the calculation gives -1.46 eV/atom.